No. 1
Crystalline SrBeCu2 at its relaxed geometry. Source: Alexandria, functional PBE.

```
data_SrBeCu2
_cell_length_a 4.463
_cell_length_b 4.463
_cell_length_c 7.305
_cell_angle_alpha 90.00
_cell_angle_beta 90.00
_cell_angle_gamma 90.00
_symmetry_space_group_name_H-M 'I -4 m 2'
_symmetry_Int_Tables_number 119
_symmetry_space_group_name_Hall 'I -4 -2'
loop_
_atom_site_label
_atom_site_fract_x
_atom_site_fract_y
_atom_site_fract_z
Sr1 0.000 0.000 0.000
Be1 0.000 0.500 0.750
Cu1 0.000 0.000 0.500
Cu2 0.000 0.500 0.250
```

Results
- ρ (g/cm³) = 5.107
- total energy (eV/cell) = -23.232
- energy of formation (meV/atom) = 496

---

No. 2
Crystalline CePu2NpAs4 at its relaxed geometry. Source: Alexandria, functional PBE.

```
data_CePu2NpAs4
_cell_length_a 5.003
_cell_length_b 5.079
_cell_length_c 7.103
_cell_angle_alpha 90.00
_cell_angle_beta 90.00
_cell_angle_gamma 90.00
_symmetry_space_group_name_H-M 'P m m m'
_symmetry_Int_Tables_number 47
loop_
_symmetry_equiv_pos_as_xyz
'x,y,z'
'-x,-y,-z'
'-x,-y,z'
'x,y,-z'
'x,-y,-z'
'-x,y,z'
'-x,y,-z'
'x,-y,z'
loop_
_atom_site_label
_atom_site_fract_x
_atom_site_fract_y
_atom_site_fract_z
Ce1 0.000 0.000 0.000
Pu1 0.000 0.000 0.500
Pu2 0.500 0.500 0.000
Np1 0.500 0.500 0.500
As1 0.000 0.500 0.254
As2 0.500 0.000 0.254
```

Results
- ρ (g/cm³) = 10.716
- total energy (eV/cell) = -72.221
- energy of formation (meV/atom) = -761

---

No. 3
Crystalline PmIn2Ag at its relaxed geometry. Source: Alexandria, functional PBE.

```
data_PmIn2Ag
_cell_length_a 4.783
_cell_length_b 4.783
_cell_length_c 17.065
_cell_angle_alpha 90.00
_cell_angle_beta 90.00
_cell_angle_gamma 90.00
_symmetry_space_group_name_H-M 'I 4/m m m'
_symmetry_Int_Tables_number 139
_symmetry_space_group_name_Hall '-I 4 2'
loop_
_atom_site_label
_atom_site_fract_x
_atom_site_fract_y
_atom_site_fract_z
Pm1 0.000 0.000 0.131
In1 0.000 0.000 0.355
In2 0.000 0.500 0.000
Ag1 0.000 0.500 0.250
```

Results
- ρ (g/cm³) = 8.209
- total energy (eV/cell) = -58.768
- energy of formation (meV/atom) = -403
- energy relative to the lowest polymorph listed for this composition (kcal/mol of atoms) = 0.000

---

No. 4
Crystalline CuTcW2 at its relaxed geometry. Source: Alexandria, functional PBE.

```
data_CuTcW2
_cell_length_a 3.234
_cell_length_b 3.234
_cell_length_c 5.667
_cell_angle_alpha 90.00
_cell_angle_beta 90.00
_cell_angle_gamma 90.00
_symmetry_space_group_name_H-M 'P 4 m m'
_symmetry_Int_Tables_number 99
loop_
_symmetry_equiv_pos_as_xyz
'x,y,z'
'-y,x,z'
'-x,-y,z'
'y,-x,z'
'-x,y,z'
'y,x,z'
'x,-y,z'
'-y,-x,z'
loop_
_atom_site_label
_atom_site_fract_x
_atom_site_fract_y
_atom_site_fract_z
Cu1 0.000 0.000 0.000
Tc1 0.500 0.500 0.237
W1 0.000 0.000 0.496
W2 0.500 0.500 0.770
```

Results
- ρ (g/cm³) = 14.830
- total energy (eV/cell) = -39.466
- energy of formation (meV/atom) = 226
- energy relative to the lowest polymorph listed for this composition (kcal/mol of atoms) = 0.662

---

Question: Which of these has the lowest energy of formation?
Answer: CePu2NpAs4